Record 1
Material: CeSi3Rh3
Method: DFT, GGA-PBE
State: optimized geometry

Lattice parameters (Å, degrees): 6.517 6.517 6.517 90.00 90.00 90.00
Site moments in Bohr magnetons follow the coordinates.
Atoms (fractional coordinates):
Rh: 0.000 0.500 0.250  0.01
Rh: 0.250 0.000 0.500  0.01
Rh: 0.750 0.000 0.500  0.01
Rh: 0.500 0.750 0.000  0.01
Rh: 0.500 0.250 0.000  0.01
Rh: 0.000 0.500 0.750  0.01
Ce: 0.500 0.500 0.500  1.06
Ce: 0.000 0.000 0.000  1.06
Si: 0.000 0.250 0.500  0.00
Si: 0.250 0.500 0.000  0.00
Si: 0.000 0.750 0.500  0.00
Si: 0.750 0.500 0.000  0.00
Si: 0.500 0.000 0.250  0.00
Si: 0.500 0.000 0.750  0.00

Properties
- crystal system = cubic
- ΔE_f (raw) (eV/atom) = -0.537


Record 2
Material: Co3RuRh
Method: DFT, GGA-PBE
State: optimized geometry

Lattice parameters (Å, degrees): 4.449 4.449 4.449 90.00 90.00 90.00
Site moments in Bohr magnetons follow the coordinates.
Atoms (fractional coordinates):
Ru: 0.500 0.500 0.500  2.14
Co: 0.500 0.000 0.000  1.69
Co: 0.000 0.000 0.500  2.49
Co: 0.000 0.500 0.000  2.11
Rh: 0.000 0.000 0.000  1.02

Properties
- energy (eV per atom) = -5.950
- crystal system = cubic


Record 3
Material: Ag2WCl
Method: DFT, GGA-PBE
State: optimized geometry

Lattice parameters (Å, degrees): 7.739 7.739 6.086 50.52 50.52 90.00
Site moments in Bohr magnetons follow the coordinates.
Atoms (fractional coordinates):
Ag: 0.128 0.625 0.250  0.05
Ag: 0.375 0.378 0.750  0.05
Ag: 0.622 0.125 0.250  0.05
Ag: 0.875 0.872 0.750  0.04
Cl: 0.250 0.750 0.500  0.04
Cl: 0.500 0.500 0.000  0.04
W: 0.750 0.250 0.500  2.23
W: 0.000 0.000 0.000  2.24

Properties
- crystal system = tetragonal
- ΔE_f (raw) (eV/atom) = 1.060


Record 4
Material: Y3Ga6Co5
Method: DFT, GGA-PBE
State: optimized geometry

Lattice parameters (Å, degrees): 4.101 8.994 12.246 90.00 90.00 90.00
Site moments in Bohr magnetons follow the coordinates.
Atoms (fractional coordinates):
Co: 0.500 0.455 0.609  0.32
Co: 0.500 0.455 0.391  0.32
Co: 0.500 0.132 0.842  -0.05
Co: 0.500 0.223 0.500  0.67
Co: 0.000 0.868 0.342  -0.05
Co: 0.000 0.545 0.891  0.32
Co: 0.000 0.777 0.000  0.67
Co: 0.000 0.868 0.658  -0.05
Co: 0.000 0.545 0.109  0.32
Co: 0.500 0.132 0.158  -0.05
Y: 0.500 0.751 0.802  -0.01
Y: 0.000 0.249 0.698  -0.01
Y: 0.500 0.751 0.198  -0.01
Y: 0.000 0.264 0.000  -0.02
Y: 0.500 0.736 0.500  -0.02
Y: 0.000 0.249 0.302  -0.01
Ga: 0.500 0.964 0.000  -0.01
Ga: 0.000 0.590 0.322  -0.01
Ga: 0.500 0.018 0.348  0.00
Ga: 0.000 0.422 0.500  0.00
Ga: 0.500 0.410 0.178  -0.01
Ga: 0.000 0.982 0.152  0.00
Ga: 0.000 0.036 0.500  -0.01
Ga: 0.500 0.018 0.652  0.00
Ga: 0.000 0.982 0.848  0.00
Ga: 0.500 0.578 0.000  0.00
Ga: 0.500 0.410 0.822  -0.01
Ga: 0.000 0.590 0.678  -0.01

Properties
- energy (eV per atom) = -5.645
- crystal system = orthorhombic


Record 5
Material: AcDy2Co
Method: DFT, GGA-PBE
State: optimized geometry

Lattice parameters (Å, degrees): 3.780 3.780 10.678 79.81 79.81 60.00
Atoms (fractional coordinates):
Dy: 0.881 0.881 0.358
Dy: 0.119 0.119 0.642
Co: 0.500 0.500 0.500
Ac: 0.000 0.000 0.000

Properties
- energy (eV per atom) = -5.013
- crystal system = trigonal


Record 6
Material: MnSn5Br12
Method: DFT, GGA-PBE
State: optimized geometry

Lattice parameters (Å, degrees): 7.448 7.462 13.975 89.95 89.91 60.06
Site moments in Bohr magnetons follow the coordinates.
Atoms (fractional coordinates):
Br: 0.167 0.333 0.377  0.00
Br: 0.697 0.000 0.890  0.04
Br: 0.001 0.299 0.890  0.03
Br: 0.999 0.701 0.110  0.03
Br: 0.303 0.000 0.110  0.04
Br: 0.833 0.667 0.623  0.00
Br: 0.701 0.299 0.110  0.03
Br: 0.834 0.000 0.378  0.00
Br: 0.499 0.333 0.623  0.00
Br: 0.299 0.701 0.890  0.03
Br: 0.166 0.000 0.622  0.00
Br: 0.501 0.667 0.377  0.00
Sn: 0.500 0.000 0.500  0.00
Sn: 0.666 0.668 0.000  0.01
Sn: 0.833 0.333 0.500  0.00
Sn: 0.334 0.332 0.000  0.01
Sn: 0.167 0.667 0.500  0.00
Mn: 0.000 0.000 0.000  4.35

Properties
- crystal system = monoclinic
- ΔE_f (raw) (eV/atom) = -0.758


Record 7
Material: RbPbSeBr
Method: DFT, GGA-PBE
State: optimized geometry

Lattice parameters (Å, degrees): 4.513 4.513 8.575 74.74 74.74 60.00
Atoms (fractional coordinates):
Rb: 0.502 0.502 0.495
Pb: 0.990 0.990 0.030
Se: 0.263 0.263 0.210
Br: 0.745 0.745 0.764

Properties
- crystal system = trigonal
- ΔE_f (raw) (eV/atom) = -1.074


Record 8
Material: Sr3SiRu
Method: DFT, GGA-PBE
State: optimized geometry

Lattice parameters (Å, degrees): 5.553 5.553 5.553 90.00 90.00 90.00
Site moments in Bohr magnetons follow the coordinates.
Atoms (fractional coordinates):
Sr: 0.500 0.000 0.000  0.03
Sr: 0.000 0.500 0.000  0.02
Sr: 0.000 0.000 0.500  0.00
Ru: 0.000 0.000 0.000  0.25
Si: 0.500 0.500 0.500  0.24

Properties
- crystal system = cubic
- ΔE_f (raw) (eV/atom) = 0.461


Record 9
Material: LaPr2Mg6
Method: DFT, GGA-PBE
State: optimized geometry

Lattice parameters (Å, degrees): 3.420 9.233 9.233 59.99 90.01 90.01
Atoms (fractional coordinates):
Mg: 0.499 0.665 0.000
Mg: 0.500 0.665 0.335
Mg: 0.499 0.000 0.665
Mg: 0.500 0.335 0.665
Mg: 0.501 0.000 0.335
Mg: 0.501 0.335 0.000
Pr: 0.000 0.333 0.333
Pr: 0.000 0.667 0.667
La: 0.000 0.000 0.000

Properties
- energy (eV per atom) = -2.775
- crystal system = hexagonal


Record 10
Material: SrCa3
Method: DFT, GGA-PBE
State: optimized geometry

Lattice parameters (Å, degrees): 13.233 13.233 13.233 17.34 17.34 17.34
Atoms (fractional coordinates):
Ca: 0.753 0.753 0.753
Ca: 0.247 0.247 0.247
Ca: 0.500 0.500 0.500
Sr: 0.000 0.000 0.000

Properties
- energy (eV per atom) = -1.894
- crystal system = trigonal


Record 11
Material: ThZr2Hg
Method: DFT, GGA-PBE
State: optimized geometry

Lattice parameters (Å, degrees): 4.350 4.725 4.725 90.00 90.00 90.00
Atoms (fractional coordinates):
Zr: 0.000 0.000 0.500
Zr: 0.000 0.500 0.000
Th: 0.500 0.500 0.500
Hg: 0.500 0.000 0.000

Properties
- energy (eV per atom) = -6.265
- crystal system = tetragonal


Record 12
Material: K2Pd2Pb3
Method: DFT, GGA-PBE
State: optimized geometry

Lattice parameters (Å, degrees): 4.600 6.643 8.561 120.76 90.00 110.26
Atoms (fractional coordinates):
Pb: 0.360 0.719 0.549
Pb: 0.500 0.000 0.000
Pb: 0.640 0.281 0.451
Pd: 0.886 0.773 0.793
Pd: 0.114 0.227 0.207
K: 0.853 0.706 0.219
K: 0.147 0.294 0.781

Properties
- energy (eV per atom) = -3.634
- crystal system = monoclinic


Copy entry 6 word for word.
Material: MnSn5Br12
Method: DFT, GGA-PBE
State: optimized geometry

Lattice parameters (Å, degrees): 7.448 7.462 13.975 89.95 89.91 60.06
Site moments in Bohr magnetons follow the coordinates.
Atoms (fractional coordinates):
Br: 0.167 0.333 0.377  0.00
Br: 0.697 0.000 0.890  0.04
Br: 0.001 0.299 0.890  0.03
Br: 0.999 0.701 0.110  0.03
Br: 0.303 0.000 0.110  0.04
Br: 0.833 0.667 0.623  0.00
Br: 0.701 0.299 0.110  0.03
Br: 0.834 0.000 0.378  0.00
Br: 0.499 0.333 0.623  0.00
Br: 0.299 0.701 0.890  0.03
Br: 0.166 0.000 0.622  0.00
Br: 0.501 0.667 0.377  0.00
Sn: 0.500 0.000 0.500  0.00
Sn: 0.666 0.668 0.000  0.01
Sn: 0.833 0.333 0.500  0.00
Sn: 0.334 0.332 0.000  0.01
Sn: 0.167 0.667 0.500  0.00
Mn: 0.000 0.000 0.000  4.35

Properties
- crystal system = monoclinic
- ΔE_f (raw) (eV/atom) = -0.758


What did the third record say?
Material: Ag2WCl
Method: DFT, GGA-PBE
State: optimized geometry

Lattice parameters (Å, degrees): 7.739 7.739 6.086 50.52 50.52 90.00
Site moments in Bohr magnetons follow the coordinates.
Atoms (fractional coordinates):
Ag: 0.128 0.625 0.250  0.05
Ag: 0.375 0.378 0.750  0.05
Ag: 0.622 0.125 0.250  0.05
Ag: 0.875 0.872 0.750  0.04
Cl: 0.250 0.750 0.500  0.04
Cl: 0.500 0.500 0.000  0.04
W: 0.750 0.250 0.500  2.23
W: 0.000 0.000 0.000  2.24

Properties
- crystal system = tetragonal
- ΔE_f (raw) (eV/atom) = 1.060